Record 1
Density functional theory data (PBE) for an optimized crystal structure of CaPm3In2.

Lattice parameters (Å, degrees): 5.5097 6.9111 9.6011 90.00 90.00 90.00
Closest atoms and distances in Å follow each position.
Fractional positions:
In 0.0000 0.7505 0.3335  5 Pm 3.19-3.46
In 0.5000 0.2495 0.1657  5 Pm 3.19-3.46
In 0.5000 0.7495 0.8343  5 Pm 3.19-3.46
In 0.0000 0.2505 0.6666  5 Pm 3.19-3.46
Ca 0.5000 0.0003 0.4989  2 Ca 3.46, 6 In 3.62-3.66, 6 Pm 3.62-3.64
Ca 0.5000 0.5003 0.5011  2 Ca 3.46, 6 In 3.62-3.66, 6 Pm 3.62-3.64
Pm 0.5000 0.7487 0.1669  5 In 3.19-3.46
Pm 0.0000 0.2513 0.3338  5 In 3.19-3.46
Pm 0.5000 0.2487 0.8331  5 In 3.19-3.46
Pm 0.0000 0.9997 0.0009  8 Pm 3.46-3.64, 6 In 3.62-3.65
Pm 0.0000 0.7513 0.6662  5 In 3.19-3.46
Pm 0.0000 0.4997 0.9991  8 Pm 3.46-3.64, 6 In 3.62-3.65

Formation energy (meV/atom): -385
Relative energy among the computed polymorphs (meV per atom): 0
Total magnetization (μB per formula unit): 0.54
Space-group type: Pmc2_1 (26)



Record 2
Density functional theory data (PBE) for an optimized crystal structure of Th4OsRuS2.

Lattice parameters (Å, degrees): 4.0603 7.5438 7.0343 71.80 90.00 90.00
Closest atoms and distances in Å follow each position.
Fractional positions:
Ru 0.0000 0.5000 0.5000  6 Th 2.84-2.85
Th 0.0000 0.2763 0.2405  2 Os 2.84, 1 Ru 2.85, 3 S 3.07
Th 0.0000 0.7237 0.7595  2 Os 2.84, 1 Ru 2.85, 3 S 3.07
Th 0.5000 0.7238 0.2593  2 Ru 2.84, 1 Os 2.85, 3 S 3.07
Th 0.5000 0.2762 0.7407  2 Ru 2.84, 1 Os 2.85, 3 S 3.07
S 0.5000 0.0000 0.5000  6 Th 3.07
S 0.0000 0.0000 0.0000  6 Th 3.07
Os 0.5000 0.5000 0.0000  6 Th 2.84-2.85

Total magnetization (μB per formula unit): 0.00
Space-group type: P2/m (10)
Formation energy (no corrections) (eV per atom): -1.0914



Record 3
Density functional theory data (PBE) for an optimized crystal structure of LiLaI3.

Lattice parameters (Å, degrees): 4.1289 9.6599 9.6098 74.61 90.46 90.45
Closest atoms and distances in Å follow each position.
Fractional positions:
Li 0.7405 0.6280 0.7157  4 I 2.81-2.89
Li 0.7455 0.2767 0.0664  4 I 2.81-2.88
La 0.9884 0.1691 0.6095  6 I 3.25-3.30
La 0.4957 0.7355 0.1729  6 I 3.25-3.30
I 0.9966 0.6396 0.4432  1 Li 2.81
I 0.4879 0.8997 0.7051  1 Li 2.81
I 0.9868 0.5671 0.0070  2 Li 2.88
I 0.9964 0.0046 0.0770  1 Li 2.81
I 0.4977 0.3373 0.7753  2 Li 2.88-2.89
I 0.4878 0.2643 0.3389  1 Li 2.81

Total magnetization (μB per formula unit): 0.21
Space-group type: P-1 (2)
Formation energy (no corrections) (eV per atom): -1.2171